{"formula": "Pu2IrRu3", "functional": "GGA-PBE", "state": "relaxed", "lattice": [[4.5775, -2.6479, 0.0000], [4.5775, 2.6479, 0.0000], [-3.0539, 0.0000, 4.4107]], "species": ["Pu", "Pu", "Ir", "Ru", "Ru", "Ru"], "fractional_positions": [[0.1243, 0.1243, 0.3731], [0.8757, 0.8757, 0.6269], [0.5000, 0.5000, 0.5000], [0.0000, 0.5000, 0.0000], [0.5000, 0.0000, 0.0000], [0.5000, 0.5000, 0.0000]], "formation_energy_ev_per_atom": -0.248}

{"formula": "ThInSnRh3", "functional": "GGA-PBE", "state": "relaxed", "lattice": [[3.0083, -6.6106, 0.0000], [3.0083, 6.6106, 0.0000], [0.0000, 0.0000, 6.2835]], "species": ["Th", "Th", "In", "In", "Sn", "Sn", "Rh", "Rh", "Rh", "Rh", "Rh", "Rh"], "fractional_positions": [[0.1506, 0.8494, 0.7500], [0.8494, 0.1506, 0.2500], [0.3914, 0.6086, 0.7500], [0.6086, 0.3914, 0.2500], [0.1397, 0.8603, 0.2500], [0.8603, 0.1397, 0.7500], [0.2352, 0.2352, 0.0000], [0.2352, 0.2352, 0.5000], [0.3406, 0.6594, 0.2500], [0.6594, 0.3406, 0.7500], [0.7648, 0.7648, 0.0000], [0.7648, 0.7648, 0.5000]], "formation_energy_ev_per_atom": -0.393}

{"formula": "NaAc2Sn", "functional": "GGA-PBE", "state": "relaxed", "lattice": [[2.4134, 1.3934, 8.9297], [-2.4134, 1.3934, 8.9297], [0.0000, -2.7868, 8.9297]], "species": ["Na", "Ac", "Ac", "Sn"], "fractional_positions": [[0.0000, 0.0000, 0.0000], [0.2327, 0.2327, 0.2327], [0.7673, 0.7673, 0.7673], [0.5000, 0.5000, 0.5000]], "e_above_lowest_polymorph_ev_per_atom": 0.1568, "formation_energy_ev_per_atom": -0.133}

{"formula": "AcNd2In2Ga2", "functional": "GGA-PBE", "state": "relaxed", "lattice": [[2.3457, 1.3543, 10.6554], [-2.3457, 1.3543, 10.6554], [0.0000, -2.7085, 10.6554]], "species": ["Ac", "Nd", "Nd", "In", "In", "Ga", "Ga"], "fractional_positions": [[0.0000, 0.0000, 0.0000], [0.1317, 0.1317, 0.1317], [0.8683, 0.8683, 0.8683], [0.2655, 0.2655, 0.2655], [0.7345, 0.7345, 0.7345], [0.4209, 0.4209, 0.4209], [0.5791, 0.5791, 0.5791]], "formation_energy_ev_per_atom": -0.345}

{"formula": "Ca2LaZn4", "functional": "GGA-PBE", "state": "relaxed", "lattice": [[-1.9660, 2.2795, 9.7777], [1.9660, -2.2795, 9.7777], [1.9660, 2.2795, -9.7777]], "species": ["Ca", "Ca", "La", "Zn", "Zn", "Zn", "Zn"], "fractional_positions": [[0.1895, 0.1895, 0.0000], [0.8105, 0.8105, 0.0000], [0.5000, 0.0000, 0.5000], [0.0666, 0.5666, 0.5000], [0.3637, 0.3637, 0.0000], [0.6363, 0.6363, 0.0000], [0.9334, 0.4334, 0.5000]], "formation_energy_ev_per_atom": -0.285}

{"formula": "Tl2TeS", "functional": "GGA-PBE", "state": "relaxed", "lattice": [[2.1613, 1.2478, 7.1777], [-2.1613, 1.2478, 7.1777], [0.0000, -2.4956, 7.1777]], "species": ["Tl", "Tl", "Te", "S"], "fractional_positions": [[0.2415, 0.2415, 0.2415], [0.7585, 0.7585, 0.7585], [0.0000, 0.0000, 0.0000], [0.5000, 0.5000, 0.5000]], "e_above_lowest_polymorph_ev_per_atom": 0.0000, "formation_energy_uncorrected_kj_per_mol_fu": -53}

{"formula": "TcCl3F2", "functional": "GGA-PBE", "state": "relaxed", "lattice": [[5.7337, -3.3771, 0.0000], [5.7337, 3.3771, 0.0000], [-3.6769, 0.0000, 8.9478]], "species": ["Tc", "Tc", "Cl", "Cl", "Cl", "Cl", "Cl", "Cl", "F", "F", "F", "F"], "fractional_positions": [[0.2168, 0.7832, 0.7500], [0.7832, 0.2168, 0.2500], [0.0797, 0.6083, 0.8449], [0.1065, 0.8935, 0.2500], [0.3917, 0.9203, 0.6551], [0.6083, 0.0797, 0.3449], [0.8935, 0.1065, 0.7500], [0.9203, 0.3917, 0.1551], [0.2301, 0.5533, 0.5781], [0.4467, 0.7699, 0.9219], [0.5533, 0.2301, 0.0781], [0.7699, 0.4467, 0.4219]], "formation_energy_uncorrected_kj_per_mol_fu": -631}

{"formula": "GeSe2Cl", "functional": "GGA-PBE", "state": "relaxed", "lattice": [[7.8235, 0.0000, 0.0000], [0.0000, 5.7861, 0.0000], [-6.3128, 0.0000, 10.8751]], "species": ["Ge", "Ge", "Ge", "Ge", "Se", "Se", "Se", "Se", "Se", "Se", "Se", "Se", "Cl", "Cl", "Cl", "Cl"], "fractional_positions": [[0.0062, 0.0885, 0.1219], [0.0062, 0.9115, 0.6219], [0.9938, 0.0885, 0.3781], [0.9938, 0.9115, 0.8781], [0.0801, 0.2808, 0.5677], [0.0801, 0.7192, 0.0677], [0.2684, 0.1490, 0.3374], [0.2684, 0.8510, 0.8374], [0.7316, 0.1490, 0.1626], [0.7316, 0.8510, 0.6626], [0.9199, 0.2808, 0.9323], [0.9199, 0.7192, 0.4323], [0.2925, 0.3558, 0.8476], [0.2925, 0.6442, 0.3476], [0.7075, 0.3558, 0.6524], [0.7075, 0.6442, 0.1524]], "e_above_lowest_polymorph_ev_per_atom": 0.0000, "formation_energy_uncorrected_kj_per_mol_fu": -50}